An optimized crystal structure of ZrCuCl2, computed with PBE.

a b c (Å): 4.923 4.923 4.923
angles (deg): 129.38 129.38 74.40
Positions (direct):
Zr 0.000 0.000 0.000
Cu 0.500 0.500 0.000
Cl 0.250 0.750 0.500
Cl 0.750 0.250 0.500

## Properties
* total magnetic moment: 0.0 Bohr magnetons per cell
* calculated total energy: -4.43 eV per atom
* energy relative to the lowest polymorph listed for this composition: 491 meV/atom
* SG: I4/mmm